Entry 1:
The following is a PBE calculation of Rb2RuBr6Cl after structural relaxation, from the Alexandria database.

Geometry as extended XYZ:
```
10
Lattice="-0.709 7.226 -3.034 0.253 -3.024 -7.261 -5.969 1.550 -5.118" Properties=species:S:1:pos:R:3 pbc="T T T"
Ru 0.000 0.000 0.000
Br -3.474 1.790 -5.131
Br -2.951 3.963 -10.282
Br -0.103 0.950 -2.328
Br -0.353 3.252 -7.967
Br -0.491 4.908 -3.990
Br 0.035 -0.706 -6.305
Rb -3.453 5.439 -6.650
Rb -2.972 0.314 -8.763
Cl -0.228 2.101 -5.148
```

Properties
Raw total energy = -30.7 eV for the cell shown
Density = 3.66 g/cm³
Spin magnetization = 3.0 Bohr magnetons per cell
E_form (uncorrected) = -0.761 eV per atom

=====

Entry 2:
The following is a PBE calculation of Rb2RuBrCl5 after structural relaxation, from the Alexandria database.

Geometry as extended XYZ:
```
9
Lattice="-2.644 2.594 -6.230 -4.090 0.182 5.981 5.294 3.583 3.415" Properties=species:S:1:pos:R:3 pbc="T T T"
Rb 1.628 4.036 0.956
Rb -3.064 2.335 2.239
Ru 0.002 0.006 0.016
Br 0.911 2.847 7.105
Cl -0.931 2.051 -0.687
Cl -0.505 4.319 3.879
Cl -1.944 0.964 5.408
Cl 3.152 2.812 4.014
Cl 0.281 0.879 2.193
```

Properties
Raw total energy = -32.7 eV for the cell shown
Density = 3.25 g/cm³
Spin magnetization = 2.0 Bohr magnetons per cell
E_form (uncorrected) = -1.174 eV per atom

=====

Entry 3:
The following is a PBE calculation of RbRuBrCl6 after structural relaxation, from the Alexandria database.

Geometry as extended XYZ:
```
9
Lattice="1.505 -1.770 6.819 0.192 -7.828 3.313 6.958 1.205 1.988" Properties=species:S:1:pos:R:3 pbc="T T T"
Rb 3.465 -5.821 7.571
Ru 4.208 -2.534 4.260
Br 6.952 0.265 2.669
Cl 2.973 -1.255 2.767
Cl 5.686 -0.662 4.557
Cl 5.472 -3.638 5.838
Cl 6.973 -5.157 9.337
Cl 2.700 -4.287 4.150
Cl 2.956 -1.451 6.004
```

Properties
Raw total energy = -29.5 eV for the cell shown
Density = 2.62 g/cm³
Spin magnetization = 2.0 Bohr magnetons per cell
E_form (uncorrected) = -0.726 eV per atom

=====

Entry 4:
The following is a PBE calculation of Rb8SBr3Cl3 after structural relaxation, from the Alexandria database.

Geometry as extended XYZ:
```
15
Lattice="9.721 0.000 0.000 -4.860 8.419 -0.030 0.000 -5.585 8.110" Properties=species:S:1:pos:R:3 pbc="T T T"
Rb 0.000 2.812 2.106
Rb 4.860 0.022 5.974
Rb 4.860 3.030 2.258
Rb 0.000 -0.196 5.822
Rb 7.477 -1.503 2.276
Rb -2.617 4.337 5.804
Rb 2.244 -1.503 2.276
Rb 2.617 4.337 5.804
S 0.000 -2.792 4.055
Br 0.000 0.000 0.000
Br -2.430 4.209 -0.015
Br 2.430 4.209 -0.015
Cl 4.860 -2.792 4.055
Cl 2.430 1.417 4.040
Cl -2.430 1.417 4.040
```

Properties
Raw total energy = -47.2 eV for the cell shown
Density = 2.66 g/cm³
Spin magnetization = 0.2 Bohr magnetons per cell
E_form (uncorrected) = -1.649 eV per atom

=====

Entry 5:
The following is a PBE calculation of RbSBr2Cl after structural relaxation, from the Alexandria database.

Geometry as extended XYZ:
```
5
Lattice="5.191 0.000 0.000 0.000 5.191 0.000 0.000 0.000 5.464" Properties=species:S:1:pos:R:3 pbc="T T T"
S 0.000 0.000 0.000
Br 0.000 2.596 0.000
Br 2.596 0.000 0.000
Rb 2.596 2.596 2.732
Cl 0.000 0.000 2.732
```

Properties
Raw total energy = -13.3 eV for the cell shown
Density = 3.53 g/cm³
Spin magnetization = 0.0 Bohr magnetons per cell
E_form (uncorrected) = -0.602 eV per atom

=====

Entry 6:
The following is a PBE calculation of Rb8SBr4Cl3 after structural relaxation, from the Alexandria database.

Geometry as extended XYZ:
```
16
Lattice="9.819 0.000 0.000 0.000 9.654 -0.122 -4.910 -4.906 6.946" Properties=species:S:1:pos:R:3 pbc="T T T"
Rb -2.414 2.266 6.778
Rb 0.000 4.678 3.363
Rb 0.000 0.028 3.491
Rb 2.414 2.266 6.778
Rb 2.496 2.481 0.046
Rb 4.910 4.720 3.334
Rb 4.910 0.069 3.461
Rb 7.323 2.481 0.046
S 0.000 4.827 -0.061
Br 4.910 0.000 0.000
Br 2.455 -2.453 3.473
Br 0.000 0.000 0.000
Br -2.455 -2.453 3.473
Cl 4.910 4.827 -0.061
Cl 2.455 2.374 3.412
Cl -2.455 2.374 3.412
```

Properties
Raw total energy = -50.3 eV for the cell shown
Density = 2.91 g/cm³
Spin magnetization = 1.0 Bohr magnetons per cell
E_form (uncorrected) = -1.640 eV per atom

=====

Entry 7:
The following is a PBE calculation of RbSbBrCl2 after structural relaxation, from the Alexandria database.

Geometry as extended XYZ:
```
5
Lattice="5.541 0.000 0.000 0.000 5.541 0.000 0.000 0.000 5.821" Properties=species:S:1:pos:R:3 pbc="T T T"
Sb 0.000 0.000 0.000
Br 0.000 0.000 2.910
Rb 2.771 2.771 2.910
Cl 0.000 2.771 0.000
Cl 2.771 0.000 0.000
```

Properties
Raw total energy = -15.7 eV for the cell shown
Density = 3.33 g/cm³
Spin magnetization = 0.0 Bohr magnetons per cell
E_form (uncorrected) = -1.041 eV per atom

=====

Entry 8:
The following is a PBE calculation of Rb2SbBrCl6 after structural relaxation, from the Alexandria database.

Geometry as extended XYZ:
```
10
Lattice="9.405 -0.042 0.549 4.859 5.484 1.655 5.121 3.344 8.428" Properties=species:S:1:pos:R:3 pbc="T T T"
Rb 11.788 3.375 5.202
Rb 9.217 1.708 0.988
Sb 4.516 1.726 0.708
Br 14.211 6.117 6.026
Cl 6.123 1.215 2.480
Cl 2.699 0.912 2.093
Cl 4.172 3.964 1.682
Cl 11.456 5.884 7.751
Cl 14.842 8.316 9.817
Cl 8.029 5.579 7.364
```

Properties
Raw total energy = -30.6 eV for the cell shown
Density = 2.57 g/cm³
Spin magnetization = 0.1 Bohr magnetons per cell
Energy above the lowest structure with this stoichiometry = 0.000 eV/atom
E_form (uncorrected) = -1.174 eV per atom

=====

Entry 9:
The following is a PBE calculation of Rb2SbBr2Cl4 after structural relaxation, from the Alexandria database.

Geometry as extended XYZ:
```
9
Lattice="-3.977 4.057 -4.910 -3.041 -6.191 2.966 1.358 2.801 6.833" Properties=species:S:1:pos:R:3 pbc="T T T"
Rb -3.930 -1.915 1.478
Rb -1.730 2.581 3.411
Sb 0.000 0.000 0.000
Br -1.251 -2.520 7.284
Br -0.432 -0.870 2.515
Cl -1.996 -4.056 3.885
Cl -3.371 -0.455 4.894
Cl 0.313 0.665 5.915
Cl -2.289 1.122 -0.005
```

Properties
Raw total energy = -28.1 eV for the cell shown
Density = 3.26 g/cm³
Spin magnetization = 0.0 Bohr magnetons per cell
E_form (uncorrected) = -1.257 eV per atom

=====

Entry 10:
The following is a PBE calculation of Rb2SbBr5Cl after structural relaxation, from the Alexandria database.

Geometry as extended XYZ:
```
9
Lattice="-3.367 1.814 -6.712 2.096 -7.296 1.434 -4.109 0.083 6.541" Properties=species:S:1:pos:R:3 pbc="T T T"
Rb -4.238 -0.843 1.896
Rb -1.135 -4.533 -0.658
Sb -2.010 -7.200 7.962
Br -2.168 -0.875 -1.370
Br -3.203 -4.493 2.600
Br 0.559 -5.448 2.686
Br -2.564 -1.734 5.256
Br -0.498 -1.783 1.972
Cl -1.542 -5.525 6.110
```

Properties
Raw total energy = -26.5 eV for the cell shown
Density = 3.71 g/cm³
Spin magnetization = 0.0 Bohr magnetons per cell
E_form (uncorrected) = -1.131 eV per atom

=====

Entry 11:
The following is a PBE calculation of Rb2SbBr4Cl2 after structural relaxation, from the Alexandria database.

Geometry as extended XYZ:
```
9
Lattice="7.609 1.170 0.796 2.833 7.146 0.262 2.833 2.867 6.550" Properties=species:S:1:pos:R:3 pbc="T T T"
Rb 6.061 7.803 5.309
Rb 7.214 3.380 2.299
Sb 3.804 0.585 0.398
Br 4.799 6.209 1.941
Br 8.476 7.097 2.546
Br 8.476 4.974 5.667
Br 4.799 4.085 5.062
Cl 3.067 2.609 1.775
Cl 10.208 8.574 5.833
```

Properties
Raw total energy = -27.0 eV for the cell shown
Density = 3.55 g/cm³
Spin magnetization = 0.0 Bohr magnetons per cell
E_form (uncorrected) = -1.174 eV per atom

=====

Entry 12:
The following is a PBE calculation of Rb2SbBrCl6 after structural relaxation, from the Alexandria database.

Geometry as extended XYZ:
```
10
Lattice="-5.259 -3.616 4.726 5.502 -5.357 2.024 1.724 -1.223 7.655" Properties=species:S:1:pos:R:3 pbc="T T T"
Sb 0.000 0.000 0.000
Br 0.122 -4.486 3.375
Rb -1.706 -4.663 7.878
Rb 3.674 -5.533 6.527
Cl 1.017 -2.664 5.765
Cl 0.951 -7.531 8.641
Cl 0.054 -1.981 1.491
Cl 0.190 -6.991 5.260
Cl -2.882 -4.000 4.130
Cl 3.126 -4.972 2.621
```

Properties
Raw total energy = -30.1 eV for the cell shown
Density = 2.74 g/cm³
Spin magnetization = 0.0 Bohr magnetons per cell
Energy above the lowest structure with this stoichiometry = 0.043 eV/atom
E_form (uncorrected) = -1.132 eV per atom

=====

Entry 13:
The following is a PBE calculation of RbScBrCl2 after structural relaxation, from the Alexandria database.

Geometry as extended XYZ:
```
5
Lattice="-3.978 3.090 1.060 -2.438 -1.696 -4.204 -2.336 -4.030 2.980" Properties=species:S:1:pos:R:3 pbc="T T T"
Sc 0.000 0.000 0.000
Br -1.168 -2.015 1.490
Rb -4.376 -1.318 -0.082
Cl -1.219 -0.848 -2.102
Cl -1.989 1.545 0.530
```

Properties
Raw total energy = -21.5 eV for the cell shown
Density = 3.19 g/cm³
Spin magnetization = 1.0 Bohr magnetons per cell
E_form (uncorrected) = -1.771 eV per atom

=====

Entry 14:
The following is a PBE calculation of RbScBr2Cl after structural relaxation, from the Alexandria database.

Geometry as extended XYZ:
```
5
Lattice="5.507 0.000 0.000 0.000 5.507 0.000 0.000 0.000 5.114" Properties=species:S:1:pos:R:3 pbc="T T T"
Sc 0.000 0.000 0.000
Br 0.000 2.754 0.000
Br 2.754 0.000 0.000
Rb 2.754 2.754 2.557
Cl 0.000 0.000 2.557
```

Properties
Raw total energy = -20.8 eV for the cell shown
Density = 3.49 g/cm³
Spin magnetization = 1.0 Bohr magnetons per cell
Energy above the lowest structure with this stoichiometry = 0.000 eV/atom
E_form (uncorrected) = -1.663 eV per atom

=====

Entry 15:
The following is a PBE calculation of RbScBr2Cl after structural relaxation, from the Alexandria database.

Geometry as extended XYZ:
```
5
Lattice="-4.249 3.009 -3.434 -3.275 -4.487 0.120 -2.708 2.116 5.204" Properties=species:S:1:pos:R:3 pbc="T T T"
Sc -5.116 0.319 0.945
Br -1.354 1.058 2.602
Br -2.124 1.504 -1.717
Rb -1.637 -2.244 0.060
Cl 0.000 0.000 0.000
```

Properties
Raw total energy = -12.9 eV for the cell shown
Density = 2.50 g/cm³
Spin magnetization = 1.1 Bohr magnetons per cell
Energy above the lowest structure with this stoichiometry = 1.580 eV/atom
E_form (uncorrected) = -0.082 eV per atom

=====

Entry 16:
The following is a PBE calculation of Rb6SeBr2Cl3 after structural relaxation, from the Alexandria database.

Geometry as extended XYZ:
```
12
Lattice="8.417 -0.108 -0.041 -4.300 7.236 -0.041 -1.413 -2.447 8.116" Properties=species:S:1:pos:R:3 pbc="T T T"
Rb 4.191 2.287 5.931
Rb 2.729 4.726 2.137
Rb -1.488 2.394 2.105
Rb -0.114 4.773 5.931
Rb -0.026 -0.045 5.898
Rb 2.817 -0.092 2.105
Se 0.000 0.000 0.000
Br 0.004 4.750 -0.041
Br 4.113 2.377 -0.041
Cl -2.869 4.778 4.018
Cl 5.572 -0.097 4.018
Cl 1.352 2.341 4.018
```

Properties
Raw total energy = -37.6 eV for the cell shown
Density = 2.91 g/cm³
Spin magnetization = 1.0 Bohr magnetons per cell
E_form (uncorrected) = -1.616 eV per atom

=====

Entry 17:
The following is a PBE calculation of RbSe2BrCl after structural relaxation, from the Alexandria database.

Geometry as extended XYZ:
```
5
Lattice="-0.999 -4.835 0.550 -0.191 -0.522 -4.936 7.556 -1.575 -0.126" Properties=species:S:1:pos:R:3 pbc="T T T"
Se -0.095 -0.261 -2.468
Se -0.499 -2.417 0.275
Br 3.778 -0.788 -0.063
Rb 3.183 -3.466 -2.256
Cl 0.000 0.000 0.000
```

Properties
Raw total energy = -12.0 eV for the cell shown
Density = 3.13 g/cm³
Spin magnetization = 1.6 Bohr magnetons per cell
Energy above the lowest structure with this stoichiometry = 0.000 eV/atom
E_form (uncorrected) = -0.100 eV per atom

=====

Entry 18:
The following is a PBE calculation of Rb2SeBr2Cl4 after structural relaxation, from the Alexandria database.

Geometry as extended XYZ:
```
9
Lattice="-3.771 -6.185 1.568 4.899 2.611 4.911 -3.566 6.497 -0.120" Properties=species:S:1:pos:R:3 pbc="T T T"
Rb 0.897 0.490 4.438
Rb -3.335 2.433 1.922
Se 0.000 0.000 0.000
Br 0.999 6.825 3.591
Br 0.334 2.283 1.201
Cl 2.952 3.505 3.754
Cl -1.009 3.674 4.536
Cl -1.618 5.603 1.038
Cl -1.428 -0.750 1.824
```

Properties
Raw total energy = -25.6 eV for the cell shown
Density = 3.15 g/cm³
Spin magnetization = 0.0 Bohr magnetons per cell
E_form (uncorrected) = -1.052 eV per atom

=====

Entry 19:
The following is a PBE calculation of RbSe2BrCl after structural relaxation, from the Alexandria database.

Geometry as extended XYZ:
```
5
Lattice="6.997 0.000 0.000 0.000 6.997 0.000 0.000 0.000 6.370" Properties=species:S:1:pos:R:3 pbc="T T T"
Se 0.000 3.499 0.000
Se 3.499 0.000 0.000
Br 0.000 0.000 3.185
Rb 0.000 0.000 0.000
Cl 3.499 3.499 3.185
```

Properties
Raw total energy = -8.6 eV for the cell shown
Density = 1.91 g/cm³
Spin magnetization = 5.0 Bohr magnetons per cell
Energy above the lowest structure with this stoichiometry = 0.676 eV/atom
E_form (uncorrected) = 0.576 eV per atom

=====

Entry 20:
The following is a PBE calculation of Rb2SiBr6Cl after structural relaxation, from the Alexandria database.

Geometry as extended XYZ:
```
10
Lattice="8.057 0.000 0.000 0.000 8.057 0.000 4.029 4.029 5.308" Properties=species:S:1:pos:R:3 pbc="T T T"
Si 4.029 4.029 0.000
Br 4.029 4.029 2.515
Br 8.057 8.057 2.793
Br 2.321 2.321 0.000
Br 5.737 5.737 0.000
Br 5.737 2.321 0.000
Br 2.321 5.737 0.000
Rb 8.057 4.029 2.654
Rb 4.029 8.057 2.654
Cl 0.000 0.000 0.000
```

Properties
Raw total energy = -28.5 eV for the cell shown
Density = 3.44 g/cm³
Spin magnetization = 0.9 Bohr magnetons per cell
E_form (uncorrected) = -0.926 eV per atom